A relaxed TbTm3Ir crystal. Source: Alexandria, functional PBE-GGA.

CIF file:
```
data_TbTm3Ir
_cell_length_a 5.3620
_cell_length_b 5.3620
_cell_length_c 5.3620
_cell_angle_alpha 90.00
_cell_angle_beta 90.00
_cell_angle_gamma 90.00
_space_group_name_H-M_alt 'P 1'
_space_group_IT_number 1
loop_
_space_group_symop_operation_xyz
'x,y,z'
loop_
_atom_site_label
_atom_site_fract_x
_atom_site_fract_y
_atom_site_fract_z
Tm1 0.0000 0.0000 0.5000
Tm2 0.0000 0.5000 0.0000
Tm3 0.5000 0.0000 0.0000
Ir1 0.0000 0.0000 0.0000
Tb1 0.5000 0.5000 0.5000
```

Values from the calculation:
space group: Pm-3m
DFT formation energy: -0.295 eV per atom
energy above the most stable polymorph in this dataset: 0.1225 eV per atom